[1]
A plane-wave DFT calculation with GGA-PBE was carried out for Sm4Al12Ni after structural relaxation.

The formation enthalpy at 0 K is -8.2 eV/f.u.

```
data_Sm4Al12Ni
_space_group_name_H-M_alt 'I m -3 m'
_space_group_IT_number 229
_space_group_name_Hall '-I 4 2 3'
_cell_length_a 8.698
_cell_length_b 8.698
_cell_length_c 8.698
_cell_angle_alpha 90.00
_cell_angle_beta 90.00
_cell_angle_gamma 90.00
loop_
_atom_site_label
_atom_site_type_symbol
_atom_site_fract_x
_atom_site_fract_y
_atom_site_fract_z
Sm1 Sm 0.250 0.250 0.250
Al1 Al 0.000 0.000 0.283
Al2 Al 0.000 0.250 0.500
Ni1 Ni 0.000 0.000 0.000
```

[2]
A plane-wave DFT calculation with GGA-PBE was carried out for Sm3Al2Ni7 after structural relaxation.

The formation enthalpy at 0 K is -5.6 eV/f.u.

```
data_Sm3Al2Ni7
_space_group_name_H-M_alt 'R -3 m'
_space_group_IT_number 166
_space_group_name_Hall '-R 3 2"'
_cell_length_a 5.2136
_cell_length_b 5.2136
_cell_length_c 23.9684
_cell_angle_alpha 90.00
_cell_angle_beta 90.00
_cell_angle_gamma 120.00
loop_
_atom_site_label
_atom_site_type_symbol
_atom_site_fract_x
_atom_site_fract_y
_atom_site_fract_z
Sm1 Sm 0.0000 0.0000 0.0000
Sm2 Sm 0.0000 0.0000 0.1409
Al1 Al 0.0000 0.0000 0.3317
Ni1 Ni 0.0000 0.0000 0.5000
Ni2 Ni 0.0062 0.5031 0.0811
```

Number 1: theoretical density 4.965 g/cm3. Number 2: theoretical density 8.087 g/cm3.